(1)
Below is a relaxed NaTl12Hg3 crystal, with properties calculated at the GGA-PBE level. Values from VASP.

Values from the calculation:
Symmetry = P4/mmm
Calculated volume = 29.377 Å³ per atom
Crystal system = tetragonal
E = -1.922 eV/atom

Cell and atoms, written as Quantum ESPRESSO input:
```
&SYSTEM
  ibrav = 0, nat = 16, ntyp = 3
/
ATOMIC_SPECIES
Na 22.99 Na.upf
Tl 204.38 Tl.upf
Hg 200.59 Hg.upf
CELL_PARAMETERS angstrom
4.754 0.000 0.000
0.000 4.754 0.000
0.000 0.000 20.798
ATOMIC_POSITIONS angstrom
Na 0.000 0.000 0.000
Tl 0.000 2.377 2.571
Tl 0.000 2.377 7.785
Tl 0.000 2.377 13.013
Tl 0.000 2.377 18.227
Tl 2.377 0.000 2.571
Tl 2.377 0.000 7.785
Tl 2.377 0.000 13.013
Tl 2.377 0.000 18.227
Tl 2.377 2.377 0.000
Tl 2.377 2.377 5.137
Tl 2.377 2.377 10.399
Tl 2.377 2.377 15.660
Hg 0.000 0.000 5.122
Hg 0.000 0.000 10.399
Hg 0.000 0.000 15.676
```



(2)
Below is a relaxed NaTl2Hg2 crystal, with properties calculated at the GGA-PBE level. Values from VASP.

Values from the calculation:
Symmetry = I4/mmm
Calculated volume = 30.544 Å³ per atom
Crystal system = tetragonal
E = -1.330 eV/atom

Cell and atoms, written as Quantum ESPRESSO input:
```
&SYSTEM
  ibrav = 0, nat = 5, ntyp = 3
/
ATOMIC_SPECIES
Na 22.99 Na.upf
Tl 204.38 Tl.upf
Hg 200.59 Hg.upf
CELL_PARAMETERS angstrom
-2.230 2.230 7.675
2.230 -2.230 7.675
2.230 2.230 -7.675
ATOMIC_POSITIONS angstrom
Na 0.000 0.000 0.000
Tl 0.000 0.000 6.121
Tl 0.000 0.000 9.228
Hg 2.230 0.000 3.837
Hg 0.000 2.230 3.837
```



(3)
Below is a relaxed Na5Tl8Hg crystal, with properties calculated at the GGA-PBE level. Values from VASP.

Values from the calculation:
Symmetry = I-4
Calculated volume = 30.359 Å³ per atom
Crystal system = tetragonal
E = -1.893 eV/atom

Cell and atoms, written as Quantum ESPRESSO input:
```
&SYSTEM
  ibrav = 0, nat = 14, ntyp = 3
/
ATOMIC_SPECIES
Na 22.99 Na.upf
Tl 204.38 Tl.upf
Hg 200.59 Hg.upf
CELL_PARAMETERS angstrom
-4.528 4.528 5.183
4.528 -4.528 5.183
4.528 4.528 -5.183
ATOMIC_POSITIONS angstrom
Na 0.000 0.000 0.000
Na 2.484 -1.227 3.268
Na 3.301 2.044 1.915
Na 2.044 5.755 -1.915
Na 1.227 2.484 7.098
Tl 6.010 0.704 0.052
Tl 3.799 2.909 -1.315
Tl 0.704 3.046 -0.052
Tl 1.619 -0.728 6.498
Tl 0.728 1.619 3.867
Tl 3.824 1.482 5.130
Tl 2.909 5.256 1.315
Tl -1.482 3.824 5.235
Hg 0.000 4.528 2.591
```



(4)
Below is a relaxed Na3Tl2Hg crystal, with properties calculated at the GGA-PBE level. Values from VASP.

Values from the calculation:
Symmetry = Cmmm
Calculated volume = 27.666 Å³ per atom
Crystal system = orthorhombic
E = -1.635 eV/atom

Cell and atoms, written as Quantum ESPRESSO input:
```
&SYSTEM
  ibrav = 0, nat = 12, ntyp = 3
/
ATOMIC_SPECIES
Na 22.99 Na.upf
Tl 204.38 Tl.upf
Hg 200.59 Hg.upf
CELL_PARAMETERS angstrom
2.368 -7.378 0.000
2.368 7.378 0.000
0.000 0.000 9.502
ATOMIC_POSITIONS angstrom
Na 0.000 0.000 2.372
Na 0.000 0.000 7.129
Na 2.368 2.480 2.291
Na 2.368 2.480 7.211
Na 2.368 -2.480 2.291
Na 2.368 -2.480 7.211
Tl 2.368 4.887 4.751
Tl 2.368 0.000 0.000
Tl 2.368 0.000 4.751
Tl 2.368 -4.887 4.751
Hg 2.368 4.947 0.000
Hg 2.368 -4.947 0.000
```



| no. | energy relative to the elements (eV per atom) |
| --- | --- |
| 1 | -0.009 |
| 2 | 0.002 |
| 3 | -0.048 |
| 4 | -0.137 |